A geometry-optimized Ag2RuAu2 structure, computed with PBE.

Unit cell a=3.7142 b=3.7142 c=7.5033 alpha=75.67 beta=75.67 gamma=90.00
Site moments in Bohr magnetons follow the coordinates.
Positions (direct):
Au 0.4047 0.4047 0.1906  0.07
Au 0.5953 0.5953 0.8094  0.07
Ru 0.0000 0.0000 0.0000  2.15
Ag 0.2500 0.7500 0.5000  0.00
Ag 0.7500 0.2500 0.5000  0.00

Computed properties:
Spin magnetization: 2.4 μB/f.u.
Density of states at the Fermi level: 5.400 states/eV/cell
Energy above the most stable polymorph in this dataset: 120 meV per atom
Space group: I4/mmm, No. 139
E_form: 0.64 eV per atom